DFT (PBE) results for a geometry-optimized Pb2Se2Br structure.

a = 8.453 Å, b = 8.453 Å, c = 3.966 Å
α = 90.00°, β = 90.00°, γ = 90.00°
Element x y z (fractional)
Pb: 0.187 0.313 0.000
Pb: 0.313 0.813 0.000
Pb: 0.687 0.187 0.000
Pb: 0.813 0.687 0.000
Se: 0.125 0.625 0.500
Se: 0.375 0.125 0.500
Se: 0.625 0.875 0.500
Se: 0.875 0.375 0.500
Br: 0.000 0.000 0.000
Br: 0.500 0.500 0.000

* N(E_F): 0.25 states/eV per atom
* formation energy (no corrections): -0.438 eV/atom
* relative energy among the computed polymorphs: 0.0000 eV per atom
* symmetry: P4/mbm (127)